This record from Alexandria describes Ni2PCl after structural relaxation. The functional is PBE-GGA.

a = 5.512 Å, b = 5.512 Å, c = 8.802 Å
α = 90.00°, β = 90.00°, γ = 90.00°
Space group I-42d (No. 122)
One atom of each set of equivalent atoms:
Ni 0.220 0.250 0.125 (multiplicity 8)
P 0.000 0.000 0.000 (multiplicity 4)
Cl 0.000 0.000 0.500 (multiplicity 4)

Properties
- energy above the most stable polymorph in this dataset (eV per atom) = 0.166
- magnetic moment (Bohr magnetons per cell) = 0.00
- raw formation energy (eV per atom) = -0.153